[1]
# Tb4Hg2O

An optimized crystal structure of Tb4Hg2O (PBE-GGA, Alexandria via LeMat-Bulk).

Calculated values
- E_tot (eV for the cell shown) = -31.7
- symmetry = I4/mmm
- relative energy among the computed polymorphs (eV per atom) = 0.000
- N(E_F) (states/eV/atom) = 0.127

Lattice parameters (Å, degrees): 4.758 4.758 8.315 73.38 73.38 90.00
Positions (direct):
Tb  0.500  0.000  0.000
O  0.000  0.000  0.000
Hg  0.369  0.369  0.261
Hg  0.631  0.631  0.739
Tb  0.823  0.823  0.355
Tb  0.000  0.500  0.000
Tb  0.177  0.177  0.645

[2]
# Tb4Hg2O

An optimized crystal structure of Tb4Hg2O (PBE-GGA, Alexandria via LeMat-Bulk).

Calculated values
- E_tot (eV for the cell shown) = -63.4
- symmetry = P2_1/m
- relative energy among the computed polymorphs (eV per atom) = 0.004
- N(E_F) (states/eV/atom) = 1.014

Lattice parameters (Å, degrees): 6.660 6.969 8.263 90.00 106.64 90.00
Positions (direct):
O  0.291  0.750  0.208
O  0.709  0.250  0.792
Hg  0.714  0.750  0.029
Tb  0.076  0.750  0.369
Tb  0.522  0.995  0.271
Tb  0.129  0.750  0.936
Tb  0.924  0.250  0.631
Tb  0.478  0.005  0.729
Tb  0.478  0.495  0.729
Tb  0.522  0.505  0.271
Hg  0.286  0.250  0.971
Hg  0.220  0.250  0.405
Tb  0.871  0.250  0.064
Hg  0.780  0.750  0.595

[3]
# Tb7Hg4O

An optimized crystal structure of Tb7Hg4O (PBE-GGA, Alexandria via LeMat-Bulk).

Calculated values
- E_tot (eV for the cell shown) = -46.0
- symmetry = C2/m
- N(E_F) (states/eV/atom) = 1.176

Lattice parameters (Å, degrees): 4.886 8.901 8.492 77.86 73.28 74.07
Positions (direct):
Tb  0.781  0.851  0.587
Hg  0.726  0.626  0.921
Tb  0.628  0.454  0.291
Tb  0.372  0.546  0.709
Tb  0.219  0.149  0.413
Tb  0.947  0.244  0.863
Tb  0.500  0.000  0.000
O  0.000  0.000  0.000
Hg  0.414  0.795  0.377
Tb  0.053  0.756  0.137
Hg  0.274  0.374  0.079
Hg  0.586  0.205  0.623

The records above yield energy relative to the elements, uncorrected values of -7.65, -7.62, -7.41 eV per formula unit, respectively.